A geometry-optimized YGa8Tc4 structure. Source: Alexandria, functional PBE.

Values from the calculation:
V in Å³ per cell: 213
Electronic total energy in eV/atom: -5.8320
Formation enthalpy at 0 K in meV/atom: -283
Density of states at the Fermi level in states/eV/atom: 0.42

Unit cell a=6.8984 b=6.8984 c=6.8984 alpha=98.28 beta=98.28 gamma=135.39
Fractional positions:
Y: 0.0000 0.0000 0.0000
Ga: 0.0000 0.3461 0.3461
Ga: 0.0000 0.6539 0.6539
Ga: 0.2879 0.5000 0.7879
Ga: 0.3461 0.0000 0.3461
Ga: 0.5000 0.2879 0.7879
Ga: 0.5000 0.7121 0.2121
Ga: 0.6539 0.0000 0.6539
Ga: 0.7121 0.5000 0.2121
Tc: 0.0000 0.0000 0.5000
Tc: 0.0000 0.5000 0.0000
Tc: 0.5000 0.0000 0.0000
Tc: 0.5000 0.5000 0.5000